1.
# ScOs2Pt | Alexandria | PBE | relaxed
# - Crystal system: monoclinic
# - Energy of formation from the pure elements: -0.20 eV/atom
data_ScOs2Pt
_chemical_formula_sum 'Sc2 Os4 Pt2'
_symmetry_space_group_name_H-M 'C 1 m 1'
_symmetry_Int_Tables_number 8
_cell_length_a 9.300
_cell_length_b 2.841
_cell_length_c 4.860
_cell_angle_alpha 90.00
_cell_angle_beta 99.83
_cell_angle_gamma 90.00
loop_
_symmetry_equiv_pos_as_xyz
'x,y,z'
'x,-y,z'
'x+1/2,y+1/2,z'
'x+1/2,-y+1/2,z'
loop_
_atom_site_label
_atom_site_fract_x
_atom_site_fract_y
_atom_site_fract_z
_atom_site_occupancy
Sc1 0.000 0.000 0.000 1
Os1 0.259 0.500 0.313 1
Os2 0.497 0.000 0.478 1
Pt1 0.246 0.000 0.781 1


2.
# Sc2OsPt | Alexandria | PBE | relaxed
# - Crystal system: orthorhombic
# - Polymorph energy (0 for the lowest one): 382.2 meV/atom
# - Energy of formation from the pure elements: -0.51 eV/atom
data_Sc2OsPt
_chemical_formula_sum 'Sc2 Os1 Pt1'
_symmetry_space_group_name_H-M 'P m m 2'
_symmetry_Int_Tables_number 25
_cell_length_a 3.008
_cell_length_b 4.331
_cell_length_c 5.508
_cell_angle_alpha 90.00
_cell_angle_beta 90.00
_cell_angle_gamma 90.00
loop_
_symmetry_equiv_pos_as_xyz
'x,y,z'
'-x,-y,z'
'-x,y,z'
'x,-y,z'
loop_
_atom_site_label
_atom_site_fract_x
_atom_site_fract_y
_atom_site_fract_z
_atom_site_occupancy
Sc1 0.000 0.000 0.000 1
Sc2 0.500 0.500 0.347 1
Os1 0.000 0.000 0.491 1
Pt1 0.500 0.500 0.839 1


3.
# ScOsPt2 | Alexandria | PBE | relaxed
# - Crystal system: tetragonal
# - Energy of formation from the pure elements: -0.49 eV/atom
data_ScOsPt2
_chemical_formula_sum 'Sc2 Os2 Pt4'
_symmetry_space_group_name_H-M 'I 4/m m m'
_symmetry_Int_Tables_number 139
_symmetry_space_group_name_Hall '-I 4 2'
_cell_length_a 3.958
_cell_length_b 3.958
_cell_length_c 8.102
_cell_angle_alpha 90.00
_cell_angle_beta 90.00
_cell_angle_gamma 90.00
loop_
_atom_site_label
_atom_site_fract_x
_atom_site_fract_y
_atom_site_fract_z
_atom_site_occupancy
Sc1 0.000 0.000 0.000 1
Os1 0.000 0.000 0.500 1
Pt1 0.000 0.500 0.250 1


4.
# ScOsPt | Alexandria | PBE | relaxed
# - Crystal system: trigonal
# - Polymorph energy (0 for the lowest one): 169.0 meV/atom
# - Energy of formation from the pure elements: -0.14 eV/atom
data_ScOsPt
_chemical_formula_sum 'Sc1 Os1 Pt1'
_symmetry_space_group_name_H-M 'P 3 m 1'
_symmetry_Int_Tables_number 156
_cell_length_a 4.5497
_cell_length_b 4.5497
_cell_length_c 2.7364
_cell_angle_alpha 90.00
_cell_angle_beta 90.00
_cell_angle_gamma 120.00
loop_
_symmetry_equiv_pos_as_xyz
'x,y,z'
'-y,x-y,z'
'-x+y,-x,z'
'-y,-x,z'
'-x+y,y,z'
'x,x-y,z'
loop_
_atom_site_label
_atom_site_fract_x
_atom_site_fract_y
_atom_site_fract_z
_atom_site_occupancy
Sc1 0.0000 0.0000 0.0000 1
Os1 0.6667 0.3333 0.3386 1
Pt1 0.3333 0.6667 0.7986 1


5.
# Sc4OsPt | Alexandria | PBE | relaxed
# - Crystal system: cubic
# - Polymorph energy (0 for the lowest one): 827.1 meV/atom
# - Energy of formation from the pure elements: 0.26 eV/atom
data_Sc4OsPt
_chemical_formula_sum 'Sc16 Os4 Pt4'
_symmetry_space_group_name_H-M 'F -4 3 m'
_symmetry_Int_Tables_number 216
_symmetry_space_group_name_Hall 'F -4 2 3'
_cell_length_a 7.598
_cell_length_b 7.598
_cell_length_c 7.598
_cell_angle_alpha 90.00
_cell_angle_beta 90.00
_cell_angle_gamma 90.00
loop_
_atom_site_label
_atom_site_fract_x
_atom_site_fract_y
_atom_site_fract_z
_atom_site_occupancy
Sc1 0.125 0.125 0.125 1
Os1 0.250 0.250 0.750 1
Pt1 0.000 0.000 0.500 1


6.
# ScOsPt2 | Alexandria | PBE | relaxed
# - Crystal system: tetragonal
# - Energy of formation from the pure elements: -0.41 eV/atom
data_ScOsPt2
_chemical_formula_sum 'Sc2 Os2 Pt4'
_symmetry_space_group_name_H-M 'I -4 m 2'
_symmetry_Int_Tables_number 119
_symmetry_space_group_name_Hall 'I -4 -2'
_cell_length_a 3.997
_cell_length_b 3.997
_cell_length_c 8.003
_cell_angle_alpha 90.00
_cell_angle_beta 90.00
_cell_angle_gamma 90.00
loop_
_atom_site_label
_atom_site_fract_x
_atom_site_fract_y
_atom_site_fract_z
_atom_site_occupancy
Sc1 0.000 0.000 0.000 1
Os1 0.000 0.500 0.750 1
Pt1 0.000 0.000 0.500 1
Pt2 0.000 0.500 0.250 1


7.
# ScOsPt2 | Alexandria | PBE | relaxed
# - Crystal system: trigonal
# - Energy of formation from the pure elements: -0.16 eV/atom
data_ScOsPt2
_chemical_formula_sum 'Sc3 Os3 Pt6'
_symmetry_space_group_name_H-M 'R -3 m'
_symmetry_Int_Tables_number 166
_symmetry_space_group_name_Hall '-R 3 2"'
_cell_length_a 2.8394
_cell_length_b 2.8394
_cell_length_c 27.4957
_cell_angle_alpha 90.00
_cell_angle_beta 90.00
_cell_angle_gamma 120.00
loop_
_atom_site_label
_atom_site_fract_x
_atom_site_fract_y
_atom_site_fract_z
_atom_site_occupancy
Sc1 0.0000 0.0000 0.0000 1
Os1 0.0000 0.0000 0.5000 1
Pt1 0.0000 0.0000 0.2488 1


8.
# Sc5Os4Pt | Alexandria | PBE | relaxed
# - Crystal system: tetragonal
# - Energy of formation from the pure elements: -0.55 eV/atom
data_Sc5Os4Pt
_chemical_formula_sum 'Sc5 Os4 Pt1'
_symmetry_space_group_name_H-M 'P 4/m m m'
_symmetry_Int_Tables_number 123
_symmetry_space_group_name_Hall '-P 4 2'
_cell_length_a 3.245
_cell_length_b 3.245
_cell_length_c 16.007
_cell_angle_alpha 90.00
_cell_angle_beta 90.00
_cell_angle_gamma 90.00
loop_
_atom_site_label
_atom_site_fract_x
_atom_site_fract_y
_atom_site_fract_z
_atom_site_occupancy
Sc1 0.000 0.000 0.000 1
Sc2 0.000 0.000 0.199 1
Sc3 0.000 0.000 0.396 1
Os1 0.500 0.500 0.099 1
Os2 0.500 0.500 0.300 1
Pt1 0.500 0.500 0.500 1